Entry 1:
Below is a relaxed SmPuTlOs crystal, with properties calculated at the PBE level.

abc: 3.3403 3.3403 8.7148
angles: 90.00 90.00 90.00
Space group P4mm (No. 99)
Unique sites:
Sm (0.0000, 0.0000, 0.0000) [1 per cell]
Pu (0.0000, 0.0000, 0.5953) [1 per cell]
Tl (0.5000, 0.5000, 0.3007) [1 per cell]
Os (0.5000, 0.5000, 0.7879) [1 per cell]

Values from the calculation:
uncorrected energy	-8.278	eV per atom
energy of formation	-0.12	eV per atom
Fermi-level density of states	1.829	states/eV per atom

Entry 2:
Below is a relaxed Hf2GaW2 crystal, with properties calculated at the PBE level.

abc: 7.2099 7.2099 3.7150
angles: 90.00 90.00 90.00
Space group P4/mbm (No. 127)
Unique sites:
Hf (0.1434, 0.3566, 0.0000) [4 per cell]
Ga (0.0000, 0.0000, 0.0000) [2 per cell]
W (0.1612, 0.6612, 0.5000) [4 per cell]

Values from the calculation:
uncorrected energy	-9.159	eV per atom
energy of formation	0.61	eV per atom
Fermi-level density of states	0.918	states/eV per atom
E above lowest polymorph	115.0	meV/atom

Entry 3:
Below is a relaxed CaScAg2 crystal, with properties calculated at the PBE level.

abc: 3.3947 3.3947 29.1562
angles: 90.00 90.00 120.00
Space group R3m (No. 160, hexagonal axes)
Unique sites:
Ca (0.0000, 0.0000, 0.0000) [3 per cell]
Sc (0.0000, 0.0000, 0.7700) [3 per cell]
Ag (0.0000, 0.0000, 0.2509) [3 per cell]
Ag (0.0000, 0.0000, 0.5106) [3 per cell]

Values from the calculation:
uncorrected energy	-3.406	eV per atom
energy of formation	0.10	eV per atom
Fermi-level density of states	0.797	states/eV per atom

Entry 4:
Below is a relaxed Li2In2GaAg5 crystal, with properties calculated at the PBE level.

abc: 9.5119 9.5119 4.0684
angles: 90.00 90.00 90.00
Space group P4/mbm (No. 127)
Unique sites:
Li (0.1228, 0.3772, 0.0000) [4 per cell]
In (0.1705, 0.6705, 0.0000) [4 per cell]
Ga (0.0000, 0.0000, 0.0000) [2 per cell]
Ag (0.0000, 0.5000, 0.5000) [2 per cell]
Ag (0.0869, 0.1960, 0.5000) [8 per cell]

Values from the calculation:
uncorrected energy	-2.737	eV per atom
energy of formation	-0.08	eV per atom
Fermi-level density of states	0.295	states/eV per atom

Entry 5:
Below is a relaxed Tb2SbO2 crystal, with properties calculated at the PBE level.

abc: 3.8733 3.8733 13.4196
angles: 90.00 90.00 90.00
Space group I4/mmm (No. 139)
Unique sites:
Tb (0.0000, 0.0000, 0.1655) [4 per cell]
Sb (0.0000, 0.0000, 0.5000) [2 per cell]
O (0.0000, 0.5000, 0.2500) [4 per cell]

Values from the calculation:
uncorrected energy	-7.379	eV per atom
formation energy without anion corrections	-2719	meV per atom
Fermi-level density of states	0.110	states/eV per atom
E above lowest polymorph	0.0	meV/atom

Entry 6:
Below is a relaxed PaTiAsN crystal, with properties calculated at the PBE level.

abc: 3.9126 3.9126 8.8945
angles: 90.00 90.00 90.00
Space group P4/nmm (No. 129, origin choice 2)
Unique sites:
Pa (0.2500, 0.2500, 0.1344) [2 per cell]
Ti (0.2500, 0.7500, 0.5000) [2 per cell]
As (0.2500, 0.2500, 0.6974) [2 per cell]
N (0.2500, 0.7500, 0.0000) [2 per cell]

Values from the calculation:
uncorrected energy	-8.921	eV per atom
formation energy without anion corrections	-1330	meV per atom
Fermi-level density of states	0.618	states/eV per atom

Entry 7:
Below is a relaxed CuMoBr4 crystal, with properties calculated at the PBE level.

abc: 8.7766 8.7766 8.7766
angles: 90.00 90.00 90.00
Space group F-43m (No. 216)
Unique sites:
Cu (0.0000, 0.0000, 0.0000) [4 per cell]
Mo (0.2500, 0.2500, 0.7500) [4 per cell]
Br (0.1255, 0.1255, 0.3745) [16 per cell]

Values from the calculation:
uncorrected energy	-2.301	eV per atom
formation energy without anion corrections	1302	meV per atom
Fermi-level density of states	1.057	states/eV per atom

Entry 8:
Below is a relaxed Y2MnCl crystal, with properties calculated at the PBE level.

abc: 3.5494 3.5494 29.1515
angles: 90.00 90.00 120.00
Space group R3m (No. 160, hexagonal axes)
Unique sites:
Y (0.0000, 0.0000, 0.0000) [3 per cell]
Y (0.0000, 0.0000, 0.2330) [3 per cell]
Mn (0.0000, 0.0000, 0.4887) [3 per cell]
Cl (0.0000, 0.0000, 0.7328) [3 per cell]

Values from the calculation:
uncorrected energy	-6.299	eV per atom
formation energy without anion corrections	-313	meV per atom
Fermi-level density of states	0.416	states/eV per atom
E above lowest polymorph	162.1	meV/atom

Entry 9:
Below is a relaxed PrScAsO crystal, with properties calculated at the PBE level.

abc: 4.3013 4.3013 9.0381
angles: 90.00 90.00 90.00
Space group P4/nmm (No. 129, origin choice 2)
Unique sites:
Pr (0.2500, 0.2500, 0.1199) [2 per cell]
Sc (0.2500, 0.7500, 0.5000) [2 per cell]
As (0.2500, 0.2500, 0.6800) [2 per cell]
O (0.2500, 0.7500, 0.0000) [2 per cell]

Values from the calculation:
uncorrected energy	-7.204	eV per atom
formation energy without anion corrections	-2024	meV per atom
Fermi-level density of states	0.467	states/eV per atom

Entry 10:
Below is a relaxed CePuSi2Tc crystal, with properties calculated at the PBE level.

abc: 4.0737 4.0737 12.0823
angles: 90.00 90.00 90.00
Space group I-4m2 (No. 119)
Unique sites:
Ce (0.0000, 0.0000, 0.0000) [2 per cell]
Pu (0.0000, 0.5000, 0.2500) [2 per cell]
Si (0.0000, 0.0000, 0.4038) [4 per cell]
Tc (0.0000, 0.5000, 0.7500) [2 per cell]

Values from the calculation:
uncorrected energy	-8.700	eV per atom
formation energy without anion corrections	-405	meV per atom
Fermi-level density of states	1.868	states/eV per atom

Entry 11:
Below is a relaxed SrRe3N crystal, with properties calculated at the PBE level.

abc: 4.7980 4.7980 4.7980
angles: 90.00 90.00 90.00
Space group Pm-3m (No. 221)
Unique sites:
Sr (0.0000, 0.0000, 0.0000) [1 per cell]
Re (0.0000, 0.0000, 0.5000) [3 per cell]
N (0.5000, 0.5000, 0.5000) [1 per cell]

Values from the calculation:
uncorrected energy	-4.399	eV per atom
formation energy without anion corrections	5072	meV per atom
Fermi-level density of states	1.857	states/eV per atom
E above lowest polymorph	4159.9	meV/atom

Entry 12:
Below is a relaxed CaMg2Br crystal, with properties calculated at the PBE level.

abc: 3.7578 3.7578 28.7223
angles: 90.00 90.00 120.00
Space group R-3m (No. 166, hexagonal axes)
Unique sites:
Ca (0.0000, 0.0000, 0.0000) [3 per cell]
Mg (0.0000, 0.0000, 0.2406) [6 per cell]
Br (0.0000, 0.0000, 0.5000) [3 per cell]

Values from the calculation:
uncorrected energy	-2.069	eV per atom
formation energy without anion corrections	-353	meV per atom
Fermi-level density of states	0.775	states/eV per atom
E above lowest polymorph	201.8	meV/atom

Entry 13:
Below is a relaxed SrLi5Ag crystal, with properties calculated at the PBE level.

abc: 4.1325 4.1325 9.8872
angles: 90.00 90.00 90.00
Space group P4/mmm (No. 123)
Unique sites:
Sr (0.0000, 0.0000, 0.0000) [1 per cell]
Li (0.0000, 0.0000, 0.5000) [1 per cell]
Li (0.0000, 0.5000, 0.3024) [4 per cell]
Ag (0.5000, 0.5000, 0.5000) [1 per cell]

Values from the calculation:
uncorrected energy	-2.043	eV per atom
energy of formation	-0.03	eV per atom
Fermi-level density of states	0.660	states/eV per atom

Entry 14:
Below is a relaxed SrInGaHIr crystal, with properties calculated at the PBE level.

abc: 4.4140 4.4140 18.0323
angles: 90.00 90.00 120.00
Space group R3m (No. 160, hexagonal axes)
Unique sites:
Sr (0.0000, 0.0000, 0.0000) [3 per cell]
In (0.0000, 0.0000, 0.7985) [3 per cell]
Ga (0.0000, 0.0000, 0.5441) [3 per cell]
H (0.0000, 0.0000, 0.3036) [3 per cell]
Ir (0.0000, 0.0000, 0.2117) [3 per cell]

Values from the calculation:
uncorrected energy	-4.391	eV per atom
Fermi-level density of states	0.310	states/eV per atom
E above lowest polymorph	0.0	meV/atom

Entry 15:
Below is a relaxed AcDy2Y crystal, with properties calculated at the PBE level.

abc: 5.1707 5.1707 5.1930
angles: 90.00 90.00 90.00
Space group P4/mmm (No. 123)
Unique sites:
Ac (0.0000, 0.0000, 0.0000) [1 per cell]
Dy (0.0000, 0.5000, 0.5000) [2 per cell]
Y (0.5000, 0.5000, 0.0000) [1 per cell]

Values from the calculation:
uncorrected energy	-4.886	eV per atom
energy of formation	0.06	eV per atom
Fermi-level density of states	1.696	states/eV per atom
E above lowest polymorph	0.1	meV/atom

Entry 16:
Below is a relaxed LiPm2MgTl4 crystal, with properties calculated at the PBE level.

abc: 5.3095 5.3095 25.8647
angles: 90.00 90.00 120.00
Space group R-3m (No. 166, hexagonal axes)
Unique sites:
Li (0.0000, 0.0000, 0.0000) [3 per cell]
Pm (0.0000, 0.0000, 0.2482) [6 per cell]
Mg (0.0000, 0.0000, 0.5000) [3 per cell]
Tl (0.0000, 0.0000, 0.1222) [6 per cell]
Tl (0.0000, 0.0000, 0.3729) [6 per cell]

Values from the calculation:
uncorrected energy	-3.102	eV per atom
energy of formation	-0.29	eV per atom
Fermi-level density of states	0.395	states/eV per atom

Entry 17:
Below is a relaxed RbCd2Ga crystal, with properties calculated at the PBE level.

abc: 6.0381 6.0381 17.4071
angles: 90.00 90.00 90.00
Space group I4_1/amd (No. 141, origin choice 2)
Unique sites:
Rb (0.0000, 0.2500, 0.3750) [4 per cell]
Cd (0.0000, 0.0000, 0.0000) [8 per cell]
Ga (0.0000, 0.2500, 0.8750) [4 per cell]

Values from the calculation:
uncorrected energy	-1.390	eV per atom
energy of formation	0.07	eV per atom
Fermi-level density of states	0.326	states/eV per atom

Entry 18:
Below is a relaxed Hf2ZrSi crystal, with properties calculated at the PBE level.

abc: 3.9096 3.9096 10.7169
angles: 90.00 90.00 90.00
Space group P4mm (No. 99)
Unique sites:
Hf (0.0000, 0.0000, 0.0000) [1 per cell]
Hf (0.0000, 0.5000, 0.5607) [2 per cell]
Hf (0.5000, 0.5000, 0.8211) [1 per cell]
Zr (0.0000, 0.0000, 0.2983) [1 per cell]
Zr (0.5000, 0.5000, 0.1153) [1 per cell]
Si (0.0000, 0.0000, 0.7461) [1 per cell]
Si (0.5000, 0.5000, 0.3738) [1 per cell]

Values from the calculation:
uncorrected energy	-8.850	eV per atom
formation energy without anion corrections	-381	meV per atom
Fermi-level density of states	0.720	states/eV per atom

Entry 19:
Below is a relaxed Li2LaPr2In2 crystal, with properties calculated at the PBE level.

abc: 5.0289 5.0289 26.9960
angles: 90.00 90.00 120.00
Space group R-3m (No. 166, hexagonal axes)
Unique sites:
Li (0.0000, 0.0000, 0.1026) [6 per cell]
La (0.0000, 0.0000, 0.5000) [3 per cell]
Pr (0.0000, 0.0000, 0.3719) [6 per cell]
In (0.0000, 0.0000, 0.2379) [6 per cell]

Values from the calculation:
uncorrected energy	-3.666	eV per atom
energy of formation	-0.27	eV per atom
Fermi-level density of states	0.820	states/eV per atom

Entry 20:
Below is a relaxed LaSm6Th crystal, with properties calculated at the PBE level.

abc: 5.1385 5.1385 10.2873
angles: 90.00 90.00 90.00
Space group P4/mmm (No. 123)
Unique sites:
La (0.0000, 0.0000, 0.0000) [1 per cell]
Sm (0.0000, 0.5000, 0.2562) [4 per cell]
Sm (0.5000, 0.5000, 0.0000) [1 per cell]
Sm (0.5000, 0.5000, 0.5000) [1 per cell]
Th (0.0000, 0.0000, 0.5000) [1 per cell]

Values from the calculation:
uncorrected energy	-5.053	eV per atom
energy of formation	0.03	eV per atom
Fermi-level density of states	1.326	states/eV per atom

Entry 21:
Below is a relaxed CaAlGeH crystal, with properties calculated at the PBE level.

abc: 4.0694 4.0694 8.3951
angles: 90.00 90.00 90.00
Space group P4/nmm (No. 129, origin choice 2)
Unique sites:
Ca (0.2500, 0.2500, 0.1337) [2 per cell]
Al (0.2500, 0.7500, 0.5000) [2 per cell]
Ge (0.2500, 0.2500, 0.6921) [2 per cell]
H (0.2500, 0.7500, 0.0000) [2 per cell]

Values from the calculation:
uncorrected energy	-3.886	eV per atom
Fermi-level density of states	0.225	states/eV per atom

Entry 22:
Below is a relaxed K4ScU3Te8 crystal, with properties calculated at the PBE level.

abc: 8.8993 8.8993 24.8970
angles: 90.00 90.00 120.00
Space group R-3m (No. 166, hexagonal axes)
Unique sites:
K (0.0000, 0.0000, 0.0000) [3 per cell]
K (0.0000, 0.5000, 0.0000) [9 per cell]
Sc (0.0000, 0.0000, 0.5000) [3 per cell]
U (0.0000, 0.5000, 0.5000) [9 per cell]
Te (0.0000, 0.0000, 0.2382) [6 per cell]
Te (0.0119, 0.5059, 0.2357) [18 per cell]

Values from the calculation:
uncorrected energy	-5.297	eV per atom
formation energy without anion corrections	-940	meV per atom
Fermi-level density of states	1.384	states/eV per atom

Entry 23:
Below is a relaxed YRe2PbO8 crystal, with properties calculated at the PBE level.

abc: 6.0313 6.0313 7.1388
angles: 90.00 90.00 120.00
Space group P-3m1 (No. 164)
Unique sites:
Y (0.0000, 0.0000, 0.0000) [1 per cell]
Re (0.3333, 0.6667, 0.2790) [2 per cell]
Pb (0.0000, 0.0000, 0.5000) [1 per cell]
O (0.1645, 0.3291, 0.2063) [6 per cell]
O (0.3333, 0.6667, 0.5282) [2 per cell]

Values from the calculation:
uncorrected energy	-7.947	eV per atom
formation energy without anion corrections	-1719	meV per atom
Fermi-level density of states	0.613	states/eV per atom

Entry 24:
Below is a relaxed NaSc3Pb crystal, with properties calculated at the PBE level.

abc: 5.1519 5.1519 5.1519
angles: 90.00 90.00 90.00
Space group Pm-3m (No. 221)
Unique sites:
Na (0.0000, 0.0000, 0.0000) [1 per cell]
Sc (0.0000, 0.0000, 0.5000) [3 per cell]
Pb (0.5000, 0.5000, 0.5000) [1 per cell]

Values from the calculation:
uncorrected energy	-4.019	eV per atom
energy of formation	0.79	eV per atom
Fermi-level density of states	1.450	states/eV per atom
E above lowest polymorph	302.8	meV/atom

Entry 25:
Below is a relaxed Dy2ZnPd crystal, with properties calculated at the PBE level.

abc: 3.5556 3.5556 6.9900
angles: 90.00 90.00 90.00
Space group P4/mmm (No. 123)
Unique sites:
Dy (0.0000, 0.0000, 0.2455) [2 per cell]
Zn (0.5000, 0.5000, 0.5000) [1 per cell]
Pd (0.5000, 0.5000, 0.0000) [1 per cell]

Values from the calculation:
uncorrected energy	-4.548	eV per atom
energy of formation	-0.63	eV per atom
Fermi-level density of states	0.717	states/eV per atom
E above lowest polymorph	0.0	meV/atom